Entry 1:
Density functional theory data (PBE) for Ba2NiBrCl after structural relaxation.

Output
- density of states at the Fermi level (states/eV/cell) = 5.7
- ΔE_f (raw) (eV per atom) = -0.72
- total DFT energy (no corrections) (eV/cell) = -16.722

a = 6.295 Å, b = 6.295 Å, c = 4.413 Å
α = 90.00°, β = 90.00°, γ = 90.00°
Space group P4/mmm (No. 123)
Inequivalent atoms, fractional coordinates:
Ba1 0.000 0.500 0.000 x2
Ni1 0.000 0.000 0.500 x1
Br1 0.000 0.000 0.000 x1
Cl1 0.500 0.500 0.500 x1


Entry 2:
Density functional theory data (PBE) for Tb2Y5Mg after structural relaxation.

Output
- energy above the lowest structure with this stoichiometry (meV per atom) = 100
- density of states at the Fermi level (states/eV/cell) = 50.4
- total DFT energy (no corrections) (eV/cell) = -169.513
- calculated formation energy (eV per formula unit) = 0.8

a = 8.642 Å, b = 11.526 Å, c = 12.059 Å
α = 97.12°, β = 110.77°, γ = 109.59°
Space group P-1 (No. 2)
Inequivalent atoms, fractional coordinates:
Tb1 0.060 0.291 0.100 x2
Tb2 0.116 0.490 0.783 x2
Tb3 0.281 0.486 0.400 x2
Tb4 0.288 0.311 0.644 x2
Y1 0.039 0.826 0.207 x2
Y2 0.098 0.144 0.321 x2
Y3 0.107 0.663 0.557 x2
Y4 0.163 0.952 0.516 x2
Y5 0.206 0.047 0.016 x2
Y6 0.250 0.612 0.111 x2
Y7 0.340 0.824 0.886 x2
Y8 0.392 0.358 0.993 x2
Y9 0.435 0.813 0.437 x2
Y10 0.496 0.344 0.289 x2
Mg1 0.364 0.106 0.807 x2
Mg2 0.452 0.040 0.287 x2